1.
Density functional theory data (PBE) for a relaxed Pr3ZnCo crystal.

a = 3.830 Å, b = 8.434 Å, c = 8.568 Å
α = 92.15°, β = 90.05°, γ = 103.12°
Fractional coordinates of all 10 atoms:
Pr: 0.052 0.105 0.303
Pr: 0.245 0.493 0.699
Pr: 0.397 0.794 0.047
Pr: 0.603 0.206 0.953
Pr: 0.755 0.507 0.301
Pr: 0.948 0.895 0.697
Zn: 0.403 0.807 0.422
Zn: 0.597 0.193 0.578
Co: 0.220 0.441 0.057
Co: 0.780 0.559 0.943

Calculated values
Spin magnetization, μB/f.u.: 0.002
Excess energy over the best structure of this formula in the dataset, meV per atom: 0
Calculated volume, Å³ per cell: 269.36
Symmetry: No. 2
ΔH_f (0 K), meV/atom: -116

=====

2.
Density functional theory data (PBE) for a relaxed PrZrCo10 crystal.

a = 3.966 Å, b = 4.879 Å, c = 8.510 Å
α = 90.00°, β = 90.00°, γ = 90.00°
Fractional coordinates of all 12 atoms:
Pr: 0.000 0.000 0.000
Zr: 0.000 0.500 0.500
Co: 0.000 0.000 0.345
Co: 0.000 0.000 0.655
Co: 0.000 0.500 0.184
Co: 0.000 0.500 0.816
Co: 0.500 0.000 0.500
Co: 0.500 0.257 0.260
Co: 0.500 0.257 0.740
Co: 0.500 0.500 0.000
Co: 0.500 0.743 0.260
Co: 0.500 0.743 0.740

Calculated values
Spin magnetization, μB/f.u.: 13.404
Calculated volume, Å³ per cell: 164.63
Symmetry: No. 47
ΔH_f (0 K), meV/atom: -65

=====

3.
Density functional theory data (PBE) for a relaxed PrZrCo4 crystal.

a = 5.049 Å, b = 5.049 Å, c = 5.049 Å
α = 60.00°, β = 60.00°, γ = 60.00°
Fractional coordinates of all 6 atoms:
Pr: 0.000 0.000 0.000
Zr: 0.250 0.250 0.250
Co: 0.128 0.624 0.624
Co: 0.624 0.128 0.624
Co: 0.624 0.624 0.128
Co: 0.624 0.624 0.624

Calculated values
Spin magnetization, μB/f.u.: 3.038
Calculated volume, Å³ per cell: 91.00
Symmetry: No. 216
ΔH_f (0 K), meV/atom: -71

=====

4.
Density functional theory data (PBE) for a relaxed PrZr2Co9 crystal.

a = 8.458 Å, b = 8.458 Å, c = 8.458 Å
α = 33.97°, β = 33.97°, γ = 33.97°
Fractional coordinates of all 12 atoms:
Pr: 0.000 0.000 0.000
Zr: 0.140 0.140 0.140
Zr: 0.860 0.860 0.860
Co: 0.079 0.588 0.588
Co: 0.336 0.336 0.336
Co: 0.412 0.412 0.921
Co: 0.412 0.921 0.412
Co: 0.500 0.500 0.500
Co: 0.588 0.079 0.588
Co: 0.588 0.588 0.079
Co: 0.664 0.664 0.664
Co: 0.921 0.412 0.412

Calculated values
Spin magnetization, μB/f.u.: 9.450
Calculated volume, Å³ per cell: 168.42
Symmetry: No. 166
ΔH_f (0 K), meV/atom: -184